# 1
DFT (PBE) results for a geometry-optimized TiCoRu3 structure. Values from VASP.

Results
D(E_F): 7.726 states/eV per cell
formation energy from the elements: 7.04 eV/f.u.
DFT total energy: -7.158 eV/atom

Quantum ESPRESSO input file:
```
&SYSTEM
  ibrav = 0, nat = 5, ntyp = 3
/
ATOMIC_SPECIES
Ti 47.87 Ti.upf
Co 58.93 Co.upf
Ru 101.07 Ru.upf
CELL_PARAMETERS angstrom
4.4592 0.0000 0.0000
0.0000 4.4592 0.0000
0.0000 0.0000 4.4592
ATOMIC_POSITIONS crystal
Ti 0.0000 0.0000 0.0000
Co 0.5000 0.5000 0.5000
Ru 0.0000 0.0000 0.5000
Ru 0.0000 0.5000 0.0000
Ru 0.5000 0.0000 0.0000
```


# 2
DFT (PBE) results for a geometry-optimized ErAg4Pd structure. Values from VASP.

Results
D(E_F): 4.794 states/eV per cell
formation energy from the elements: -1.11 eV/f.u.
DFT total energy: -3.712 eV/atom

Quantum ESPRESSO input file:
```
&SYSTEM
  ibrav = 0, nat = 6, ntyp = 3
/
ATOMIC_SPECIES
Er 167.26 Er.upf
Ag 107.87 Ag.upf
Pd 106.42 Pd.upf
CELL_PARAMETERS angstrom
0.0000 3.8642 3.8642
3.8642 0.0000 3.8642
3.8642 3.8642 0.0000
ATOMIC_POSITIONS crystal
Er 0.0000 0.0000 0.0000
Ag 0.3753 0.3753 0.3753
Ag 0.3753 0.3753 0.8741
Ag 0.3753 0.8741 0.3753
Ag 0.8741 0.3753 0.3753
Pd 0.7500 0.7500 0.7500
```


# 3
DFT (PBE) results for a geometry-optimized Dy6PuS8 structure. Values from VASP.

Results
D(E_F): 13.727 states/eV per cell
DFT total energy: -6.995 eV/atom
E_form (uncorrected): -1.998 eV/atom

Quantum ESPRESSO input file:
```
&SYSTEM
  ibrav = 0, nat = 15, ntyp = 3
/
ATOMIC_SPECIES
Dy 162.50 Dy.upf
Pu 244.00 Pu.upf
S 32.06 S.upf
CELL_PARAMETERS angstrom
0.0000 5.5218 5.5218
5.5218 0.0000 5.5218
5.5218 5.5218 0.0000
ATOMIC_POSITIONS crystal
Dy 0.0000 0.0000 0.5000
Dy 0.0000 0.5000 0.0000
Dy 0.0000 0.5000 0.5000
Dy 0.5000 0.0000 0.0000
Dy 0.5000 0.0000 0.5000
Dy 0.5000 0.5000 0.0000
Pu 0.0000 0.0000 0.0000
S 0.2500 0.2500 0.2500
S 0.2533 0.2533 0.7467
S 0.2533 0.7467 0.2533
S 0.2533 0.7467 0.7467
S 0.7467 0.2533 0.2533
S 0.7467 0.2533 0.7467
S 0.7467 0.7467 0.2533
S 0.7500 0.7500 0.7500
```


# 4
DFT (PBE) results for a geometry-optimized Na4Ce3NpS8 structure. Values from VASP.

Results
D(E_F): 25.370 states/eV per cell
DFT total energy: -5.955 eV/atom
E_form (uncorrected): -1.640 eV/atom

Quantum ESPRESSO input file:
```
&SYSTEM
  ibrav = 0, nat = 16, ntyp = 4
/
ATOMIC_SPECIES
Na 22.99 Na.upf
Ce 140.12 Ce.upf
Np 237.00 Np.upf
S 32.06 S.upf
CELL_PARAMETERS angstrom
4.1014 2.3679 6.6657
-4.1014 2.3679 6.6657
0.0000 -4.7359 6.6657
ATOMIC_POSITIONS crystal
Na 0.0000 0.0000 0.0000
Na 0.0000 0.5000 0.5000
Na 0.5000 0.0000 0.5000
Na 0.5000 0.5000 0.0000
Ce 0.0000 0.0000 0.5000
Ce 0.0000 0.5000 0.0000
Ce 0.5000 0.0000 0.0000
Np 0.5000 0.5000 0.5000
S 0.2446 0.2446 0.2446
S 0.2478 0.7413 0.7413
S 0.2587 0.2587 0.7522
S 0.2587 0.7522 0.2587
S 0.7413 0.2478 0.7413
S 0.7413 0.7413 0.2478
S 0.7522 0.2587 0.2587
S 0.7554 0.7554 0.7554
```


# 5
DFT (PBE) results for a geometry-optimized Li2MgHRh structure. Values from VASP.

Results
D(E_F): 2.037 states/eV per cell
DFT total energy: -3.393 eV/atom

Quantum ESPRESSO input file:
```
&SYSTEM
  ibrav = 0, nat = 5, ntyp = 4
/
ATOMIC_SPECIES
Li 6.94 Li.upf
Mg 24.30 Mg.upf
H 1.01 H.upf
Rh 102.91 Rh.upf
CELL_PARAMETERS angstrom
3.7928 0.0000 0.0000
0.0000 3.7928 0.0000
0.0000 0.0000 4.2606
ATOMIC_POSITIONS crystal
Li 0.0000 0.5000 0.0000
Li 0.5000 0.0000 0.0000
Mg 0.0000 0.0000 0.5000
H 0.0000 0.0000 0.0000
Rh 0.5000 0.5000 0.5000
```


# 6
DFT (PBE) results for a geometry-optimized Mo3IrPt structure. Values from VASP.

Results
D(E_F): 6.632 states/eV per cell
formation energy from the elements: 7.81 eV/f.u.
DFT total energy: -7.918 eV/atom

Quantum ESPRESSO input file:
```
&SYSTEM
  ibrav = 0, nat = 5, ntyp = 3
/
ATOMIC_SPECIES
Mo 95.94 Mo.upf
Ir 192.22 Ir.upf
Pt 195.08 Pt.upf
CELL_PARAMETERS angstrom
4.6845 0.0000 0.0000
0.0000 4.6845 0.0000
0.0000 0.0000 4.6845
ATOMIC_POSITIONS crystal
Mo 0.0000 0.0000 0.5000
Mo 0.0000 0.5000 0.0000
Mo 0.5000 0.0000 0.0000
Ir 0.0000 0.0000 0.0000
Pt 0.5000 0.5000 0.5000
```


# 7
DFT (PBE) results for a geometry-optimized PrPaCuAu structure. Values from VASP.

Results
D(E_F): 27.565 states/eV per cell
formation energy from the elements: -0.35 eV/f.u.
DFT total energy: -5.500 eV/atom

Quantum ESPRESSO input file:
```
&SYSTEM
  ibrav = 0, nat = 16, ntyp = 4
/
ATOMIC_SPECIES
Pr 140.91 Pr.upf
Pa 231.04 Pa.upf
Cu 63.55 Cu.upf
Au 196.97 Au.upf
CELL_PARAMETERS angstrom
7.2273 0.0000 0.0000
0.0000 7.2273 0.0000
0.0000 0.0000 7.2273
ATOMIC_POSITIONS crystal
Pr 0.0000 0.0000 0.0000
Pr 0.0000 0.5000 0.5000
Pr 0.5000 0.0000 0.5000
Pr 0.5000 0.5000 0.0000
Pa 0.0000 0.0000 0.5000
Pa 0.0000 0.5000 0.0000
Pa 0.5000 0.0000 0.0000
Pa 0.5000 0.5000 0.5000
Cu 0.2500 0.2500 0.2500
Cu 0.2500 0.7500 0.7500
Cu 0.7500 0.2500 0.7500
Cu 0.7500 0.7500 0.2500
Au 0.2500 0.2500 0.7500
Au 0.2500 0.7500 0.2500
Au 0.7500 0.2500 0.2500
Au 0.7500 0.7500 0.7500
```


# 8
DFT (PBE) results for a geometry-optimized LiThMgCo structure. Values from VASP.

Results
D(E_F): 14.201 states/eV per cell
formation energy from the elements: 0.06 eV/f.u.
DFT total energy: -4.494 eV/atom

Quantum ESPRESSO input file:
```
&SYSTEM
  ibrav = 0, nat = 16, ntyp = 4
/
ATOMIC_SPECIES
Li 6.94 Li.upf
Th 232.04 Th.upf
Mg 24.30 Mg.upf
Co 58.93 Co.upf
CELL_PARAMETERS angstrom
6.7165 0.0000 0.0000
0.0000 6.7165 0.0000
0.0000 0.0000 6.7165
ATOMIC_POSITIONS crystal
Li 0.0000 0.0000 0.0000
Li 0.0000 0.5000 0.5000
Li 0.5000 0.0000 0.5000
Li 0.5000 0.5000 0.0000
Th 0.2500 0.2500 0.2500
Th 0.2500 0.7500 0.7500
Th 0.7500 0.2500 0.7500
Th 0.7500 0.7500 0.2500
Mg 0.2500 0.2500 0.7500
Mg 0.2500 0.7500 0.2500
Mg 0.7500 0.2500 0.2500
Mg 0.7500 0.7500 0.7500
Co 0.0000 0.0000 0.5000
Co 0.0000 0.5000 0.0000
Co 0.5000 0.0000 0.0000
Co 0.5000 0.5000 0.5000
```


# 9
DFT (PBE) results for a geometry-optimized LiLa2YCl structure. Values from VASP.

Results
D(E_F): 9.028 states/eV per cell
DFT total energy: -3.755 eV/atom
E_form (uncorrected): 0.261 eV/atom

Quantum ESPRESSO input file:
```
&SYSTEM
  ibrav = 0, nat = 5, ntyp = 4
/
ATOMIC_SPECIES
Li 6.94 Li.upf
La 138.91 La.upf
Y 88.91 Y.upf
Cl 35.45 Cl.upf
CELL_PARAMETERS angstrom
6.2620 0.0000 0.0000
0.0000 6.2620 0.0000
0.0000 0.0000 5.1869
ATOMIC_POSITIONS crystal
Li 0.0000 0.0000 0.0000
La 0.0000 0.5000 0.5000
La 0.5000 0.0000 0.5000
Y 0.5000 0.5000 0.5000
Cl 0.5000 0.5000 0.0000
```


# 10
DFT (PBE) results for a geometry-optimized Th4HPb2 structure. Values from VASP.

Results
D(E_F): 13.545 states/eV per cell
DFT total energy: -6.034 eV/atom

Quantum ESPRESSO input file:
```
&SYSTEM
  ibrav = 0, nat = 14, ntyp = 3
/
ATOMIC_SPECIES
Th 232.04 Th.upf
H 1.01 H.upf
Pb 207.20 Pb.upf
CELL_PARAMETERS angstrom
6.1539 0.0000 0.0000
0.0000 6.7179 0.0000
-2.1636 0.0000 9.3838
ATOMIC_POSITIONS crystal
Th 0.1810 0.2500 0.0642
Th 0.2307 0.7500 0.3513
Th 0.2776 0.5072 0.7196
Th 0.2776 0.9928 0.7196
Th 0.7224 0.0072 0.2804
Th 0.7224 0.4928 0.2804
Th 0.7693 0.2500 0.6487
Th 0.8190 0.7500 0.9358
H 0.1005 0.2500 0.8165
H 0.8995 0.7500 0.1835
Pb 0.2480 0.2500 0.4111
Pb 0.3453 0.7500 0.0370
Pb 0.6547 0.2500 0.9630
Pb 0.7520 0.7500 0.5889
```


# 11
DFT (PBE) results for a geometry-optimized NbCuSn2N structure. Values from VASP.

Results
D(E_F): 3.976 states/eV per cell
DFT total energy: -5.580 eV/atom
E_form (uncorrected): 0.519 eV/atom

Quantum ESPRESSO input file:
```
&SYSTEM
  ibrav = 0, nat = 5, ntyp = 4
/
ATOMIC_SPECIES
Nb 92.91 Nb.upf
Cu 63.55 Cu.upf
Sn 118.71 Sn.upf
N 14.01 N.upf
CELL_PARAMETERS angstrom
4.9781 0.0000 0.0000
0.0000 4.9781 0.0000
0.0000 0.0000 3.5856
ATOMIC_POSITIONS crystal
Nb 0.0000 0.0000 0.0000
Cu 0.5000 0.5000 0.0000
Sn 0.0000 0.5000 0.5000
Sn 0.5000 0.0000 0.5000
N 0.5000 0.5000 0.5000
```


Which of these has the highest DFT total energy?
Li2MgHRh


Repeat the seventh record exactly.
DFT (PBE) results for a geometry-optimized PrPaCuAu structure. Values from VASP.

Results
D(E_F): 27.565 states/eV per cell
formation energy from the elements: -0.35 eV/f.u.
DFT total energy: -5.500 eV/atom

Quantum ESPRESSO input file:
```
&SYSTEM
  ibrav = 0, nat = 16, ntyp = 4
/
ATOMIC_SPECIES
Pr 140.91 Pr.upf
Pa 231.04 Pa.upf
Cu 63.55 Cu.upf
Au 196.97 Au.upf
CELL_PARAMETERS angstrom
7.2273 0.0000 0.0000
0.0000 7.2273 0.0000
0.0000 0.0000 7.2273
ATOMIC_POSITIONS crystal
Pr 0.0000 0.0000 0.0000
Pr 0.0000 0.5000 0.5000
Pr 0.5000 0.0000 0.5000
Pr 0.5000 0.5000 0.0000
Pa 0.0000 0.0000 0.5000
Pa 0.0000 0.5000 0.0000
Pa 0.5000 0.0000 0.0000
Pa 0.5000 0.5000 0.5000
Cu 0.2500 0.2500 0.2500
Cu 0.2500 0.7500 0.7500
Cu 0.7500 0.2500 0.7500
Cu 0.7500 0.7500 0.2500
Au 0.2500 0.2500 0.7500
Au 0.2500 0.7500 0.2500
Au 0.7500 0.2500 0.2500
Au 0.7500 0.7500 0.7500
```


Which of these has the highest D(E_F)?
PrPaCuAu